# Cs6Tl3Cl14

A relaxed structure of Cs6Tl3Cl14 (GGA-PBE, Alexandria).

Magnetic moment (μB per formula unit): 0.43
Energy relative to the elements, uncorrected (eV per atom): -1.39

Cell lengths 12.768, 12.768, 6.657 Å; angles 90.00, 90.00, 120.00 degrees
Positions (direct):
Cs: 0.010 0.563 0.000
Cs: 0.324 0.101 0.540
Cs: 0.437 0.447 0.000
Cs: 0.553 0.990 0.000
Cs: 0.777 0.676 0.540
Cs: 0.899 0.223 0.540
Tl: 0.000 0.000 0.966
Tl: 0.333 0.667 0.437
Tl: 0.667 0.333 0.273
Cl: 0.000 0.000 0.335
Cl: 0.071 0.866 0.830
Cl: 0.134 0.205 0.830
Cl: 0.199 0.460 0.309
Cl: 0.260 0.801 0.309
Cl: 0.333 0.667 0.809
Cl: 0.441 0.182 0.049
Cl: 0.514 0.406 0.496
Cl: 0.540 0.740 0.309
Cl: 0.594 0.108 0.496
Cl: 0.741 0.559 0.049
Cl: 0.795 0.929 0.830
Cl: 0.818 0.259 0.049
Cl: 0.892 0.486 0.496

=====

# Fe2CoNi

A relaxed structure of Fe2CoNi (GGA-PBE, Alexandria).

Magnetic moment (μB per formula unit): 7.65
Calculated formation energy (eV/atom): 0.016
Excess energy over the best structure of this formula in the dataset (meV/atom): 28

Cell lengths 4.721, 4.721, 2.450 Å; angles 100.56, 100.56, 116.66 degrees
Positions (direct):
Fe: 0.000 0.500 0.000
Fe: 0.500 0.000 0.000
Co: 0.000 0.000 0.500
Ni: 0.500 0.500 0.500

=====

# B3N3Cl

A relaxed structure of B3N3Cl (GGA-PBE, Alexandria).

Magnetic moment (μB per formula unit): 0.00
Energy relative to the elements, uncorrected (eV per atom): -0.04

Cell lengths 4.686, 4.686, 4.686 Å; angles 90.00, 90.00, 90.00 degrees
Positions (direct):
B: 0.000 0.250 0.500
B: 0.000 0.750 0.500
B: 0.250 0.500 0.000
B: 0.500 0.000 0.250
B: 0.500 0.000 0.750
B: 0.750 0.500 0.000
N: 0.000 0.500 0.250
N: 0.000 0.500 0.750
N: 0.250 0.000 0.500
N: 0.500 0.250 0.000
N: 0.500 0.750 0.000
N: 0.750 0.000 0.500
Cl: 0.000 0.000 0.000
Cl: 0.500 0.500 0.500

=====

# Th6PbSe5

A relaxed structure of Th6PbSe5 (GGA-PBE, Alexandria).

Magnetic moment (μB per formula unit): 0.00
Energy relative to the elements, uncorrected (eV per atom): -1.31

Cell lengths 7.421, 7.421, 7.441 Å; angles 99.63, 99.63, 120.75 degrees
Positions (direct):
Th: 0.063 0.411 0.736
Th: 0.232 0.232 0.251
Th: 0.411 0.063 0.736
Th: 0.589 0.937 0.264
Th: 0.768 0.768 0.749
Th: 0.937 0.589 0.264
Pb: 0.500 0.500 0.000
Se: 0.000 0.000 0.500
Se: 0.171 0.829 0.000
Se: 0.346 0.654 0.500
Se: 0.654 0.346 0.500
Se: 0.829 0.171 0.000

=====

# KPaCdS4

A relaxed structure of KPaCdS4 (GGA-PBE, Alexandria).

Magnetic moment (μB per formula unit): 0.00
Energy relative to the elements, uncorrected (eV per atom): -1.20

Cell lengths 8.568, 8.568, 8.568 Å; angles 125.45, 122.06, 83.64 degrees
Positions (direct):
K: 0.408 0.158 0.250
K: 0.592 0.842 0.750
Pa: 0.000 0.500 0.500
Pa: 0.500 0.500 0.000
Cd: 0.000 0.000 0.500
Cd: 0.000 0.500 0.000
S: 0.166 0.707 0.459
S: 0.251 0.293 0.959
S: 0.253 0.290 0.537
S: 0.253 0.716 0.963
S: 0.747 0.284 0.037
S: 0.747 0.710 0.463
S: 0.749 0.707 0.041
S: 0.834 0.293 0.541

=====

# BaMg2ZnAg

A relaxed structure of BaMg2ZnAg (GGA-PBE, Alexandria).

Magnetic moment (μB per formula unit): 0.00
Calculated formation energy (eV/atom): -0.051

Cell lengths 5.236, 5.236, 5.137 Å; angles 90.00, 90.00, 90.00 degrees
Positions (direct):
Ba: 0.000 0.000 0.000
Mg: 0.000 0.500 0.500
Mg: 0.500 0.000 0.500
Zn: 0.500 0.500 0.000
Ag: 0.500 0.500 0.500

=====

# TbDy2Mg

A relaxed structure of TbDy2Mg (GGA-PBE, Alexandria).

Magnetic moment (μB per formula unit): 0.00
Calculated formation energy (eV/atom): 0.042
Excess energy over the best structure of this formula in the dataset (meV/atom): 72

Cell lengths 3.504, 3.504, 11.501 Å; angles 98.81, 98.81, 59.84 degrees
Positions (direct):
Tb: 0.000 0.000 0.000
Dy: 0.419 0.419 0.255
Dy: 0.582 0.582 0.747
Mg: 0.168 0.168 0.501

=====

# Ba5Tl2Pb

A relaxed structure of Ba5Tl2Pb (GGA-PBE, Alexandria).

Magnetic moment (μB per formula unit): 0.01
Calculated formation energy (eV/atom): -0.382

Cell lengths 11.019, 11.019, 11.019 Å; angles 131.89, 131.89, 70.40 degrees
Positions (direct):
Ba: 0.000 0.000 0.000
Ba: 0.028 0.528 0.850
Ba: 0.178 0.028 0.500
Ba: 0.322 0.822 0.850
Ba: 0.472 0.322 0.500
Ba: 0.500 0.500 0.000
Ba: 0.528 0.678 0.500
Ba: 0.678 0.178 0.150
Ba: 0.822 0.972 0.500
Ba: 0.972 0.472 0.150
Tl: 0.121 0.379 0.500
Tl: 0.379 0.879 0.258
Tl: 0.621 0.121 0.742
Tl: 0.879 0.621 0.500
Pb: 0.250 0.250 0.000
Pb: 0.750 0.750 0.000

=====

Question: magnetic moment of number 2 (Fe2CoNi)?
Answer: 7.65 μB per formula unit